1.
VASP calculation (PBE) on a relaxed structure of ZrNpNi4.

a b c (Å): 4.9730 4.9730 4.9730
angles (deg): 60.00 60.00 60.00
Closest atoms and distances in Å follow each position.
Element x y z (fractional)
Ni 0.1254 0.6249 0.6249  6 Ni 2.48-2.49
Ni 0.6249 0.1254 0.6249  6 Ni 2.48-2.49
Ni 0.6249 0.6249 0.6249  6 Ni 2.48-2.49
Ni 0.6249 0.6249 0.1254  6 Ni 2.48-2.49
Zr 0.0000 0.0000 0.0000  12 Ni 2.92, 4 Np 3.05
Np 0.2500 0.2500 0.2500  12 Ni 2.92, 4 Zr 3.05

Output
**Space group**: F-43m
**Uncorrected energy**: -7.6580 eV/atom

2.
VASP calculation (PBE) on a relaxed structure of SrTe2RhN.

a b c (Å): 6.1414 6.1414 4.7008
angles (deg): 90.00 90.00 90.00
Closest atoms and distances in Å follow each position.
Element x y z (fractional)
Te 0.5000 0.0000 0.0000  2 Sr 3.07
Te 0.0000 0.5000 0.0000  2 Sr 3.07
Rh 0.5000 0.5000 0.5000  8 Te 3.87
Sr 0.0000 0.0000 0.0000  2 N 2.35
N 0.0000 0.0000 0.5000  2 Sr 2.35

Output
**Space group**: P4/mmm
**Uncorrected formation energy**: 1363 meV/atom
**Energy above the most stable polymorph in this dataset**: 1674 meV/atom